Computed, not measured: K2H2Cl2O after structural relaxation at the PBE level of DFT.

The structure belongs to space group C2/m (No. 12); the cell edges are 9.1473, 7.8568 and 4.1343 Å and the angles 90.00°, 106.96° and 90.00°. The asymmetric unit holds K at (0.0000, 0.2392, 0.0000), H at (0.1081, 0.5000, 0.4907), Cl at (0.2034, 0.0000, 0.6286) and O at (0.0000, 0.5000, 0.5000).

The total moment is 0.00 μB/atom. The value obtained for the calculated volume is 284 Å³/cell.

---

Computed, not measured: PRh3Se after structural relaxation at the PBE level of DFT.

The structure belongs to space group Pm-3m (No. 221); the cell edges are 4.4160, 4.4160 and 4.4160 Å and the angles 90.00°, 90.00° and 90.00°. The asymmetric unit holds P at (0.0000, 0.0000, 0.0000), Rh at (0.0000, 0.0000, 0.5000) and Se at (0.5000, 0.5000, 0.5000).

The value obtained for the excess energy over the best structure of this formula in the dataset is 0.0 meV/atom. The total moment is 0.00 μB/atom. The calculation puts the uncorrected formation energy at 0.877 eV per formula unit. The value obtained for the calculated volume is 86 Å³/cell.

---

Computed, not measured: Mg4PtRh2Au after structural relaxation at the PBE level of DFT.

The structure belongs to space group R-3m (No. 166, hexagonal axes); the cell edges are 4.4682, 4.4682 and 21.8972 Å and the angles 90.00°, 90.00° and 120.00°. The asymmetric unit holds Mg at (0.0000, 0.0000, 0.1229), Mg at (0.0000, 0.0000, 0.3729), Pt at (0.0000, 0.0000, 0.0000), Rh at (0.0000, 0.0000, 0.2491) and Au at (0.0000, 0.0000, 0.5000).

The calculation puts the calculated formation energy at -0.648 eV per atom. The total moment is 0.00 μB/atom. The value obtained for the calculated volume is 379 Å³/cell.

---

Computed, not measured: Nd3Dy2Tm after structural relaxation at the PBE level of DFT.

The structure belongs to space group Cmmm (No. 65); the cell edges are 5.8618, 18.0748 and 3.7762 Å and the angles 90.00°, 90.00° and 90.00°. The asymmetric unit holds Nd at (0.0000, 0.0000, 0.0000), Nd at (0.0000, 0.3471, 0.0000), Dy at (0.0000, 0.1789, 0.5000) and Tm at (0.0000, 0.5000, 0.5000).

The value obtained for the excess energy over the best structure of this formula in the dataset is 84.1 meV/atom. The calculation puts the calculated formation energy at 0.095 eV per atom. The total moment is 0.00 μB/atom. The value obtained for the calculated volume is 400 Å³/cell.

---

Across the entries above, energy takes the values -54.59; -30.07; -106.75; -54.82 eV per cell, respectively.